Here is crystalline NaFeOsF2 at its relaxed geometry from Alexandria. Energies are from PBE+U.

Cell: 4.086 4.086 5.537 Å, 90.00 90.00 90.00°
Atoms (fractional coordinates):
Na 0.000 0.000 0.000
Fe 0.500 0.500 0.500
Os 0.500 0.500 0.000
F 0.000 0.500 0.500
F 0.500 0.000 0.500

**E**: -4.556 eV per atom
**SG**: P4/mmm (123)
**Theoretical density**: 5.5 g cm⁻³